(1)
{
  "formula": "HfIn2SiPt",
  "functional": "PBE",
  "state": "optimized geometry",
  "dft_energy_ev_per_atom": -4.261,
  "space_group": "P4/mmm",
  "magmom_total_mub_per_fu": 0.00,
  "formation_energy_uncorrected_ev_per_atom": 1.117,
  "dos_at_fermi_per_ev_atom": 0.768,
  "lattice_angstrom": [[-1.564, 4.737, -2.233], [-4.221, -0.169, 2.596], [2.404, 2.720, 4.086]],
  "species": ["Si", "Hf", "Pt", "In", "In"],
  "fractional_positions": [[0.000, 0.500, 0.000], [0.000, 0.000, 0.000], [0.500, 0.500, 0.500], [0.000, 0.000, 0.500], [0.500, 0.000, 0.000]]
}

---

(2)
{
  "formula": "HfInSi2Pt",
  "functional": "PBE",
  "state": "optimized geometry",
  "dft_energy_ev_per_atom": -4.774,
  "space_group": "P4/mmm",
  "magmom_total_mub_per_fu": 0.00,
  "formation_energy_uncorrected_ev_per_atom": 1.141,
  "dos_at_fermi_per_ev_atom": 0.656,
  "lattice_angstrom": [[-3.346, 1.857, -3.053], [-3.214, 0.264, 3.682], [1.561, 4.522, 1.039]],
  "species": ["Si", "Si", "Hf", "Pt", "In"],
  "fractional_positions": [[0.000, 0.000, 0.500], [0.500, 0.000, 0.000], [0.500, 0.500, 0.500], [0.000, 0.500, 0.000], [0.000, 0.000, 0.000]]
}